[1]
Entry from Alexandria via LeMat-Bulk: a relaxed AcBiRh4 crystal (PBE-GGA).

a b c (Å): 9.2712 9.2712 6.1048
angles (deg): 90.00 90.00 152.87
Sites, in units of the cell vectors:
1 Ac 0.0874 0.9126 0.7500
2 Ac 0.9126 0.0874 0.2500
3 Bi 0.2265 0.7735 0.2500
4 Bi 0.7735 0.2265 0.7500
5 Rh 0.0758 0.9242 0.2500
6 Rh 0.3425 0.6575 0.5331
7 Rh 0.3425 0.6575 0.9669
8 Rh 0.5000 0.5000 0.0000
9 Rh 0.5000 0.5000 0.5000
10 Rh 0.6575 0.3425 0.0331
11 Rh 0.6575 0.3425 0.4669
12 Rh 0.9242 0.0758 0.7500

## Properties
Distance to the lowest polymorph of the same formula (kcal/mol of atoms): 1.72
Mass density (kg/m³): 11766
ΔE_f (meV per atom): -201.7

***

[2]
Entry from Alexandria via LeMat-Bulk: a relaxed AcBi2Rh3 crystal (PBE-GGA).

a b c (Å): 8.5935 8.5935 8.3850
angles (deg): 116.93 116.93 31.98
Sites, in units of the cell vectors:
1 Ac 0.1471 0.1471 0.1797
2 Ac 0.8529 0.8529 0.8203
3 Bi 0.1903 0.1903 0.6324
4 Bi 0.4953 0.4953 0.2256
5 Bi 0.5047 0.5047 0.7744
6 Bi 0.8097 0.8097 0.3676
7 Rh 0.0931 0.0931 0.8120
8 Rh 0.2943 0.2943 0.0237
9 Rh 0.3931 0.3931 0.4046
10 Rh 0.6069 0.6069 0.5954
11 Rh 0.7057 0.7057 0.9763
12 Rh 0.9069 0.9069 0.1880

## Properties
Distance to the lowest polymorph of the same formula (kcal/mol of atoms): 1.59
Mass density (kg/m³): 10950
ΔE_f (meV per atom): -327.0

***

[3]
Entry from Alexandria via LeMat-Bulk: a relaxed AcBi2Rh crystal (PBE-GGA).

a b c (Å): 3.6197 3.6197 8.3389
angles (deg): 90.00 90.00 90.00
Sites, in units of the cell vectors:
1 Ac 0.0000 0.0000 0.0000
2 Bi 0.5000 0.5000 0.3070
3 Bi 0.5000 0.5000 0.6930
4 Rh 0.0000 0.0000 0.5000

## Properties
Distance to the lowest polymorph of the same formula (kcal/mol of atoms): 9.59
Mass density (kg/m³): 11366
ΔE_f (meV per atom): -193.7

***

[4]
Entry from Alexandria via LeMat-Bulk: a relaxed Ac4BiRh2 crystal (PBE-GGA).

a b c (Å): 7.6191 7.6191 14.7510
angles (deg): 90.00 90.00 145.76
Sites, in units of the cell vectors:
1 Ac 0.0000 0.0000 0.0000
2 Ac 0.0000 0.0000 0.5000
3 Ac 0.2660 0.7340 0.6108
4 Ac 0.2660 0.7340 0.8892
5 Ac 0.4320 0.5680 0.2500
6 Ac 0.5680 0.4320 0.7500
7 Ac 0.7340 0.2660 0.1108
8 Ac 0.7340 0.2660 0.3892
9 Bi 0.1070 0.8930 0.2500
10 Bi 0.8930 0.1070 0.7500
11 Rh 0.3697 0.6303 0.0595
12 Rh 0.3697 0.6303 0.4405
13 Rh 0.6303 0.3697 0.5595
14 Rh 0.6303 0.3697 0.9405

## Properties
Distance to the lowest polymorph of the same formula (kcal/mol of atoms): 0.00
Mass density (kg/m³): 9118
ΔE_f (meV per atom): -703.8

***

[5]
Entry from Alexandria via LeMat-Bulk: a relaxed Ac3Bi4Rh3 crystal (PBE-GGA).

a b c (Å): 8.9905 8.9905 8.9905
angles (deg): 109.47 109.47 109.47
Sites, in units of the cell vectors:
1 Ac 0.1250 0.7500 0.8750
2 Ac 0.2500 0.6250 0.3750
3 Ac 0.3750 0.2500 0.6250
4 Ac 0.6250 0.3750 0.2500
5 Ac 0.7500 0.8750 0.1250
6 Ac 0.8750 0.1250 0.7500
7 Bi 0.0000 0.3414 0.5000
8 Bi 0.0000 0.8414 0.5000
9 Bi 0.1586 0.1586 0.1586
10 Bi 0.3414 0.5000 0.0000
11 Bi 0.5000 0.0000 0.3414
12 Bi 0.5000 0.0000 0.8414
13 Bi 0.6586 0.6586 0.6586
14 Bi 0.8414 0.5000 0.0000
15 Rh 0.1250 0.8750 0.2500
16 Rh 0.2500 0.1250 0.8750
17 Rh 0.3750 0.6250 0.7500
18 Rh 0.6250 0.7500 0.3750
19 Rh 0.7500 0.3750 0.6250
20 Rh 0.8750 0.2500 0.1250

## Properties
Mass density (kg/m³): 10838
ΔE_f (meV per atom): -675.0

***

[6]
Entry from Alexandria via LeMat-Bulk: a relaxed AcBi3Rh2 crystal (PBE-GGA).

a b c (Å): 8.2147 8.2147 5.7553
angles (deg): 90.00 90.00 120.00
Sites, in units of the cell vectors:
1 Ac 0.3333 0.6667 0.2827
2 Ac 0.6667 0.3333 0.7173
3 Bi 0.1641 0.3282 0.7513
4 Bi 0.1641 0.8359 0.7513
5 Bi 0.3282 0.1641 0.2487
6 Bi 0.6718 0.8359 0.7513
7 Bi 0.8359 0.1641 0.2487
8 Bi 0.8359 0.6718 0.2487
9 Rh 0.0000 0.0000 0.0000
10 Rh 0.0000 0.5000 0.0000
11 Rh 0.5000 0.0000 0.0000
12 Rh 0.5000 0.5000 0.0000

## Properties
Distance to the lowest polymorph of the same formula (kcal/mol of atoms): 0.00
Mass density (kg/m³): 10464
ΔE_f (meV per atom): -389.4

***

[7]
Entry from Alexandria via LeMat-Bulk: a relaxed AcBi2Rh crystal (PBE-GGA).

a b c (Å): 4.7829 4.7829 20.3548
angles (deg): 90.00 90.00 90.00
Sites, in units of the cell vectors:
1 Ac 0.0000 0.0000 0.1313
2 Ac 0.0000 0.0000 0.8687
3 Ac 0.5000 0.5000 0.3687
4 Ac 0.5000 0.5000 0.6313
5 Bi 0.0000 0.0000 0.3198
6 Bi 0.0000 0.0000 0.6802
7 Bi 0.0000 0.5000 0.0000
8 Bi 0.0000 0.5000 0.5000
9 Bi 0.5000 0.0000 0.0000
10 Bi 0.5000 0.0000 0.5000
11 Bi 0.5000 0.5000 0.1802
12 Bi 0.5000 0.5000 0.8198
13 Rh 0.0000 0.5000 0.2500
14 Rh 0.0000 0.5000 0.7500
15 Rh 0.5000 0.0000 0.2500
16 Rh 0.5000 0.0000 0.7500

## Properties
Distance to the lowest polymorph of the same formula (kcal/mol of atoms): 0.41
Mass density (kg/m³): 10668
ΔE_f (meV per atom): -592.0

***

[8]
Entry from Alexandria via LeMat-Bulk: a relaxed Ac3Bi7Rh2 crystal (PBE-GGA).

a b c (Å): 5.1146 4.8324 15.1463
angles (deg): 90.00 97.23 90.00
Sites, in units of the cell vectors:
1 Ac 0.0000 0.0000 0.0000
2 Ac 0.3101 0.5000 0.6326
3 Ac 0.6899 0.5000 0.3674
4 Bi 0.0761 0.5000 0.1778
5 Bi 0.2202 0.0000 0.4364
6 Bi 0.4638 0.0000 0.8198
7 Bi 0.5000 0.5000 0.0000
8 Bi 0.5362 0.0000 0.1802
9 Bi 0.7798 0.0000 0.5636
10 Bi 0.9239 0.5000 0.8222
11 Rh 0.0439 0.0000 0.2593
12 Rh 0.9561 0.0000 0.7407

## Properties
Mass density (kg/m³): 10506
ΔE_f (meV per atom): -530.3

***

[9]
Entry from Alexandria via LeMat-Bulk: a relaxed AcBi3Rh3 crystal (PBE-GGA).

a b c (Å): 7.3955 7.3955 7.3955
angles (deg): 90.00 90.00 90.00
Sites, in units of the cell vectors:
1 Ac 0.0000 0.0000 0.0000
2 Ac 0.5000 0.5000 0.5000
3 Bi 0.0000 0.2500 0.5000
4 Bi 0.0000 0.7500 0.5000
5 Bi 0.2500 0.5000 0.0000
6 Bi 0.5000 0.0000 0.2500
7 Bi 0.5000 0.0000 0.7500
8 Bi 0.7500 0.5000 0.0000
9 Rh 0.0000 0.5000 0.2500
10 Rh 0.0000 0.5000 0.7500
11 Rh 0.2500 0.0000 0.5000
12 Rh 0.5000 0.2500 0.0000
13 Rh 0.5000 0.7500 0.0000
14 Rh 0.7500 0.0000 0.5000

## Properties
Distance to the lowest polymorph of the same formula (kcal/mol of atoms): 5.64
Mass density (kg/m³): 9546
ΔE_f (meV per atom): -8.8

***

[10]
Entry from Alexandria via LeMat-Bulk: a relaxed Ac2Bi5Rh3 crystal (PBE-GGA).

a b c (Å): 14.2164 14.2164 7.8238
angles (deg): 90.00 90.00 160.63
Sites, in units of the cell vectors:
1 Ac 0.0264 0.9736 0.5000
2 Ac 0.3306 0.6694 0.5342
3 Ac 0.6694 0.3306 0.0342
4 Ac 0.9736 0.0264 0.0000
5 Bi 0.0953 0.9047 0.8746
6 Bi 0.2037 0.7963 0.3413
7 Bi 0.2150 0.7850 0.7566
8 Bi 0.3761 0.6239 0.0097
9 Bi 0.4522 0.5478 0.6680
10 Bi 0.5478 0.4522 0.1680
11 Bi 0.6239 0.3761 0.5097
12 Bi 0.7850 0.2150 0.2566
13 Bi 0.7963 0.2037 0.8413
14 Bi 0.9047 0.0953 0.3746
15 Rh 0.1054 0.8946 0.2498
16 Rh 0.2724 0.7276 0.0592
17 Rh 0.4487 0.5513 0.2886
18 Rh 0.5513 0.4487 0.7886
19 Rh 0.7276 0.2724 0.5592
20 Rh 0.8946 0.1054 0.7498

## Properties
Distance to the lowest polymorph of the same formula (kcal/mol of atoms): 0.00
Mass density (kg/m³): 11446
ΔE_f (meV per atom): -514.2

***

[11]
Entry from Alexandria via LeMat-Bulk: a relaxed AcBi2Rh3 crystal (PBE-GGA).

a b c (Å): 9.2849 9.2849 10.6277
angles (deg): 105.23 105.23 27.44
Sites, in units of the cell vectors:
1 Ac 0.0000 0.0000 0.0000
2 Ac 0.1668 0.1668 0.7115
3 Ac 0.8332 0.8332 0.2885
4 Bi 0.1913 0.1913 0.1205
5 Bi 0.3592 0.3592 0.5452
6 Bi 0.4648 0.4648 0.2284
7 Bi 0.5352 0.5352 0.7716
8 Bi 0.6408 0.6408 0.4548
9 Bi 0.8087 0.8087 0.8795
10 Rh 0.0484 0.0484 0.3330
11 Rh 0.2156 0.2156 0.3893
12 Rh 0.3234 0.3234 0.0462
13 Rh 0.3802 0.3802 0.8031
14 Rh 0.5000 0.5000 0.5000
15 Rh 0.6198 0.6198 0.1969
16 Rh 0.6766 0.6766 0.9538
17 Rh 0.7844 0.7844 0.6107
18 Rh 0.9516 0.9516 0.6670

## Properties
Distance to the lowest polymorph of the same formula (kcal/mol of atoms): 0.00
Mass density (kg/m³): 11689
ΔE_f (meV per atom): -395.7

***

[12]
Entry from Alexandria via LeMat-Bulk: a relaxed AcBiRh2 crystal (PBE-GGA).

a b c (Å): 4.8561 4.8561 18.4228
angles (deg): 90.00 90.00 120.00
Sites, in units of the cell vectors:
1 Ac 0.0000 0.0000 0.0000
2 Ac 0.3333 0.6667 0.6667
3 Ac 0.6667 0.3333 0.3333
4 Bi 0.0000 0.0000 0.5000
5 Bi 0.3333 0.6667 0.1667
6 Bi 0.6667 0.3333 0.8333
7 Rh 0.0000 0.0000 0.3610
8 Rh 0.0000 0.0000 0.6390
9 Rh 0.3333 0.6667 0.0277
10 Rh 0.3333 0.6667 0.3057
11 Rh 0.6667 0.3333 0.6943
12 Rh 0.6667 0.3333 0.9723

## Properties
Mass density (kg/m³): 8498
ΔE_f (meV per atom): -3.5

***

[13]
Entry from Alexandria via LeMat-Bulk: a relaxed AcBi4Rh crystal (PBE-GGA).

a b c (Å): 6.6725 6.8359 8.9603
angles (deg): 112.35 91.81 90.04
Sites, in units of the cell vectors:
1 Ac 0.2501 0.2333 0.0010
2 Ac 0.7499 0.7667 0.9990
3 Bi 0.1425 0.9056 0.5968
4 Bi 0.2277 0.6109 0.8026
5 Bi 0.2732 0.8098 0.1978
6 Bi 0.3569 0.3091 0.4047
7 Bi 0.6431 0.6909 0.5953
8 Bi 0.7268 0.1902 0.8022
9 Bi 0.7723 0.3891 0.1974
10 Bi 0.8575 0.0944 0.4032
11 Rh 0.0000 0.5000 0.5000
12 Rh 0.5000 0.0000 0.5000

## Properties
Mass density (kg/m³): 10249
ΔE_f (meV per atom): -255.5

***

[14]
Entry from Alexandria via LeMat-Bulk: a relaxed Ac2BiSb3Rh6 crystal (PBE-GGA).

a b c (Å): 4.2327 4.2327 16.5837
angles (deg): 90.00 90.00 90.00
Sites, in units of the cell vectors:
1 Ac 0.0000 0.0000 0.1790
2 Ac 0.0000 0.0000 0.8210
3 Bi 0.0000 0.0000 0.5000
4 Sb 0.5000 0.5000 0.0000
5 Sb 0.5000 0.5000 0.3076
6 Sb 0.5000 0.5000 0.6924
7 Rh 0.0000 0.5000 0.3956
8 Rh 0.0000 0.5000 0.6044
9 Rh 0.5000 0.0000 0.3956
10 Rh 0.5000 0.0000 0.6044
11 Rh 0.5000 0.5000 0.1521
12 Rh 0.5000 0.5000 0.8479

## Properties
Mass density (kg/m³): 9198
E (eV/f.u.): -74.3

***

[15]
Entry from Alexandria via LeMat-Bulk: a relaxed Ac3BiSb2Rh9 crystal (PBE-GGA).

a b c (Å): 6.7459 6.7459 9.3859
angles (deg): 90.00 90.00 120.00
Sites, in units of the cell vectors:
1 Ac 0.0000 0.0000 0.0000
2 Ac 0.3333 0.6667 0.7360
3 Ac 0.6667 0.3333 0.2640
4 Bi 0.0000 0.0000 0.5000
5 Sb 0.3333 0.6667 0.1852
6 Sb 0.6667 0.3333 0.8148
7 Rh 0.0000 0.5000 0.0000
8 Rh 0.1329 0.2657 0.2647
9 Rh 0.1329 0.8671 0.2647
10 Rh 0.2657 0.1329 0.7353
11 Rh 0.5000 0.0000 0.0000
12 Rh 0.5000 0.5000 0.0000
13 Rh 0.7343 0.8671 0.2647
14 Rh 0.8671 0.1329 0.7353
15 Rh 0.8671 0.7343 0.7353

## Properties
Mass density (kg/m³): 9246
E (eV/f.u.): -94.9

***

[16]
Entry from Alexandria via LeMat-Bulk: a relaxed Ac3Bi2Sb2Rh4 crystal (PBE-GGA).

a b c (Å): 4.7300 4.7300 14.8212
angles (deg): 90.00 90.00 120.00
Sites, in units of the cell vectors:
1 Ac 0.0000 0.0000 0.0000
2 Ac 0.0000 0.0000 0.2776
3 Ac 0.0000 0.0000 0.7224
4 Bi 0.3333 0.6667 0.5664
5 Bi 0.6667 0.3333 0.4336
6 Sb 0.3333 0.6667 0.1513
7 Sb 0.6667 0.3333 0.8487
8 Rh 0.3333 0.6667 0.3792
9 Rh 0.3333 0.6667 0.8677
10 Rh 0.6667 0.3333 0.1323
11 Rh 0.6667 0.3333 0.6208

## Properties
Mass density (kg/m³): 10143
E (eV/f.u.): -65.3

***

[17]
Entry from Alexandria via LeMat-Bulk: a relaxed Ac2Sn3BiRh4 crystal (PBE-GGA).

a b c (Å): 4.6403 4.6403 10.8996
angles (deg): 90.00 90.00 90.00
Sites, in units of the cell vectors:
1 Ac 0.0000 0.5000 0.2439
2 Ac 0.5000 0.0000 0.7561
3 Sn 0.0000 0.5000 0.8776
4 Sn 0.5000 0.0000 0.1224
5 Sn 0.5000 0.5000 0.5000
6 Bi 0.0000 0.0000 0.5000
7 Rh 0.0000 0.0000 0.0000
8 Rh 0.0000 0.5000 0.6359
9 Rh 0.5000 0.0000 0.3641
10 Rh 0.5000 0.5000 0.0000

## Properties
Mass density (kg/m³): 10123
ΔE_f (meV per atom): -689.6

***

[18]
Entry from Alexandria via LeMat-Bulk: a relaxed Ac2SnBi3Rh4 crystal (PBE-GGA).

a b c (Å): 4.7321 4.7321 10.8560
angles (deg): 90.00 90.00 90.00
Sites, in units of the cell vectors:
1 Ac 0.0000 0.5000 0.2467
2 Ac 0.5000 0.0000 0.7533
3 Sn 0.0000 0.0000 0.5000
4 Bi 0.0000 0.5000 0.8725
5 Bi 0.5000 0.0000 0.1275
6 Bi 0.5000 0.5000 0.5000
7 Rh 0.0000 0.0000 0.0000
8 Rh 0.0000 0.5000 0.6253
9 Rh 0.5000 0.0000 0.3747
10 Rh 0.5000 0.5000 0.0000

## Properties
Mass density (kg/m³): 11006
ΔE_f (meV per atom): -577.3

***

[19]
Entry from Alexandria via LeMat-Bulk: a relaxed SrAcBiRh crystal (PBE-GGA).

a b c (Å): 7.8667 7.8667 7.8667
angles (deg): 90.00 90.00 90.00
Sites, in units of the cell vectors:
1 Sr 0.0000 0.0000 0.0000
2 Sr 0.0000 0.5000 0.5000
3 Sr 0.5000 0.0000 0.5000
4 Sr 0.5000 0.5000 0.0000
5 Ac 0.0000 0.0000 0.5000
6 Ac 0.0000 0.5000 0.0000
7 Ac 0.5000 0.0000 0.0000
8 Ac 0.5000 0.5000 0.5000
9 Bi 0.2500 0.2500 0.7500
10 Bi 0.2500 0.7500 0.2500
11 Bi 0.7500 0.2500 0.2500
12 Bi 0.7500 0.7500 0.7500
13 Rh 0.2500 0.2500 0.2500
14 Rh 0.2500 0.7500 0.7500
15 Rh 0.7500 0.2500 0.7500
16 Rh 0.7500 0.7500 0.2500

## Properties
Mass density (kg/m³): 8548
ΔE_f (meV per atom): -442.2

***

[20]
Entry from Alexandria via LeMat-Bulk: a relaxed Ac2BiTe3Rh4 crystal (PBE-GGA).

a b c (Å): 4.7317 4.7317 10.5267
angles (deg): 90.00 90.00 90.00
Sites, in units of the cell vectors:
1 Ac 0.0000 0.5000 0.2364
2 Ac 0.5000 0.0000 0.7636
3 Bi 0.0000 0.0000 0.5000
4 Te 0.0000 0.5000 0.8734
5 Te 0.5000 0.0000 0.1266
6 Te 0.5000 0.5000 0.5000
7 Rh 0.0000 0.0000 0.0000
8 Rh 0.0000 0.5000 0.6270
9 Rh 0.5000 0.0000 0.3730
10 Rh 0.5000 0.5000 0.0000

## Properties
Mass density (kg/m³): 10268
E (eV/f.u.): -58.4

***

Respective V values: 19.94 24.10 27.31 34.42 27.97 28.03 29.10 30.95 28.89 26.22 22.58 31.35 31.48 24.76 24.66 26.11 23.47 24.31 30.43 23.57 A^3/atom.